No. 1
The following is a PBE calculation of a geometry-optimized Y4OsPd structure, from Alexandria via LeMat-Bulk.

The structure in POSCAR format:
```
Y4OsPd
1.0
4.846 0.000 -0.001
0.000 4.846 -0.002
0.004 0.006 6.897
Y Os Pd
4 1 1
Cartesian
2.429 4.833 1.774 Y
2.432 4.839 5.091 Y
0.010 2.416 5.093 Y
0.006 2.410 1.776 Y
0.008 4.836 3.434 Os
2.433 2.416 6.882 Pd
```

Offset from the most stable computed form = 68 meV/atom
Calculated volume = 26.99 A^3/atom
Space group = P4/mmm, No. 123

***

No. 2
The following is a PBE calculation of a geometry-optimized Y5OsPd2 structure, from Alexandria via LeMat-Bulk.

The structure in POSCAR format:
```
Y5OsPd2
1.0
4.357 0.000 0.000
0.000 7.694 0.000
0.000 0.000 11.986
Y Os Pd
10 2 4
Cartesian
0.000 0.000 5.993 Y
0.000 3.847 0.000 Y
0.000 6.476 2.428 Y
0.000 1.218 9.558 Y
0.000 5.065 8.421 Y
0.000 2.629 3.565 Y
2.179 5.224 4.963 Y
2.179 2.469 7.022 Y
2.179 6.316 10.956 Y
2.179 1.378 1.029 Y
0.000 3.847 5.993 Os
0.000 0.000 0.000 Os
2.179 4.248 2.014 Pd
2.179 3.445 9.972 Pd
2.179 7.292 8.007 Pd
2.179 0.402 3.979 Pd
```

Calculated volume = 25.11 A^3/atom
Space group = Pbam, No. 55

***

No. 3
The following is a PBE calculation of a geometry-optimized Y3OsPd structure, from Alexandria via LeMat-Bulk.

The structure in POSCAR format:
```
Y3OsPd
1.0
-0.755 -4.400 2.873
4.607 0.841 2.499
-2.527 2.848 3.699
Y Os Pd
3 1 1
Cartesian
2.304 0.421 1.250 Y
-1.263 1.424 1.850 Y
-0.377 -2.200 1.436 Y
0.000 0.000 0.000 Os
0.663 -0.355 4.536 Pd
```

Offset from the most stable computed form = 0 meV/atom
Calculated volume = 29.92 A^3/atom
Space group = Pm-3m, No. 221

***

No. 4
The following is a PBE calculation of a geometry-optimized Y2ZnOsPd structure, from Alexandria via LeMat-Bulk.

The structure in POSCAR format:
```
Y2ZnOsPd
1.0
-2.262 3.541 3.279
-1.937 -3.614 2.568
4.329 -0.112 3.107
Y Zn Os Pd
2 1 1 1
Cartesian
2.164 -0.056 1.554 Y
-1.131 1.771 1.639 Y
0.065 -0.092 4.477 Zn
0.000 0.000 0.000 Os
-0.968 -1.807 1.284 Pd
```

Calculated volume = 27.49 A^3/atom
Space group = P4/mmm, No. 123

***

No. 5
The following is a PBE calculation of a geometry-optimized ZnOsPd3 structure, from Alexandria via LeMat-Bulk.

The structure in POSCAR format:
```
ZnOsPd3
1.0
-1.880 2.618 3.590
-3.880 0.931 -2.712
-2.164 -3.944 1.743
Zn Os Pd
1 1 3
Cartesian
-3.962 -0.197 1.311 Zn
0.000 0.000 0.000 Os
-1.940 0.466 -1.356 Pd
-1.082 -1.972 0.871 Pd
-0.940 1.309 1.795 Pd
```

Offset from the most stable computed form = 30 meV/atom
Calculated volume = 22.46 A^3/atom
Space group = Pm-3m, No. 221

***

No. 6
The following is a PBE calculation of a geometry-optimized ZnOsPd3 structure, from Alexandria via LeMat-Bulk.

The structure in POSCAR format:
```
ZnOsPd3
1.0
4.534 0.000 0.000
0.000 4.534 0.000
0.000 0.000 4.534
Zn Os Pd
1 1 3
Cartesian
0.000 0.000 0.000 Zn
2.267 2.267 2.267 Os
0.000 2.267 0.000 Pd
0.000 0.000 2.267 Pd
2.267 0.000 0.000 Pd
```

Offset from the most stable computed form = 0 meV/atom
Calculated volume = 18.65 A^3/atom
Space group = Pm-3m, No. 221

***

No. 7
The following is a PBE calculation of a geometry-optimized Zr3Zn3OsPd2 structure, from Alexandria via LeMat-Bulk.

The structure in POSCAR format:
```
Zr3Zn3OsPd2
1.0
-3.027 -1.034 -0.071
0.713 -2.575 7.125
-2.399 7.111 -1.253
Zr Zn Os Pd
3 3 1 2
Cartesian
-1.003 -2.361 5.069 Zr
-3.233 4.578 -0.933 Zr
-1.992 0.769 1.629 Zr
-1.057 2.844 3.681 Zn
-0.895 2.653 -0.468 Zn
0.266 -0.961 2.658 Zn
0.000 0.000 0.000 Os
-1.838 0.137 4.297 Pd
-2.875 3.366 1.504 Pd
```

Calculated volume = 17.83 A^3/atom
Space group = P-62m, No. 189

***

No. 8
The following is a PBE calculation of a geometry-optimized Zr4OsPd structure, from Alexandria via LeMat-Bulk.

The structure in POSCAR format:
```
Zr4OsPd
1.0
-4.158 -1.602 1.035
1.851 -2.787 3.120
-0.658 4.630 4.534
Zr Os Pd
4 1 1
Cartesian
-0.407 -2.395 4.792 Zr
-0.725 -0.158 6.986 Zr
0.428 2.037 4.908 Zr
0.746 -0.200 2.715 Zr
1.512 -0.475 5.371 Os
-1.821 2.433 6.596 Pd
```

Offset from the most stable computed form = 213 meV/atom
Calculated volume = 22.72 A^3/atom
Space group = P4/mmm, No. 123

***

No. 9
The following is a PBE calculation of a geometry-optimized Zr12OsPd6 structure, from Alexandria via LeMat-Bulk.

The structure in POSCAR format:
```
Zr12OsPd6
1.0
7.781 -0.058 -0.069
-1.237 7.682 -0.069
-1.237 -1.441 7.546
Zr Os Pd
12 1 6
Cartesian
5.123 3.760 3.106 Zr
1.580 5.426 4.255 Zr
2.940 2.050 6.099 Zr
0.184 2.424 4.302 Zr
3.728 0.758 3.154 Zr
2.368 4.134 1.310 Zr
-1.044 6.865 2.368 Zr
-1.636 3.856 6.976 Zr
4.060 7.049 0.230 Zr
6.352 -0.681 5.041 Zr
6.944 2.328 0.432 Zr
1.248 -0.865 7.178 Zr
0.000 0.000 0.000 Os
3.817 6.073 2.729 Pd
4.305 2.168 0.945 Pd
-0.116 4.338 2.302 Pd
1.491 0.111 4.679 Pd
1.003 4.016 6.463 Pd
5.424 1.846 5.106 Pd
```

Calculated volume = 23.63 A^3/atom
Space group = R-3, No. 148

***

No. 10
The following is a PBE calculation of a geometry-optimized ZrOs2Pd structure, from Alexandria via LeMat-Bulk.

The structure in POSCAR format:
```
ZrOs2Pd
1.0
3.899 0.000 0.000
0.000 3.899 0.000
1.950 1.950 9.517
Os Zr Pd
4 2 2
Cartesian
3.159 0.975 2.379 Os
0.740 2.924 2.379 Os
2.924 2.690 7.137 Os
4.874 5.108 7.137 Os
1.950 1.950 0.000 Zr
1.950 3.899 4.758 Zr
0.000 0.000 0.000 Pd
3.899 1.950 4.758 Pd
```

Offset from the most stable computed form = 120 meV/atom
Calculated volume = 18.08 A^3/atom
Space group = I-42d, No. 122

***

No. 11
The following is a PBE calculation of a geometry-optimized Zr5OsPd2 structure, from Alexandria via LeMat-Bulk.

The structure in POSCAR format:
```
Zr5OsPd2
1.0
4.717 0.000 0.000
0.000 5.909 0.000
0.000 0.000 11.283
Zr Os Pd
10 2 4
Cartesian
0.000 0.000 5.642 Zr
0.000 2.954 0.000 Zr
0.000 5.041 2.567 Zr
0.000 0.868 8.716 Zr
0.000 3.822 8.209 Zr
0.000 2.086 3.074 Zr
2.358 3.826 4.334 Zr
2.358 2.083 6.949 Zr
2.358 5.037 9.976 Zr
2.358 0.871 1.307 Zr
0.000 2.954 5.642 Os
0.000 0.000 0.000 Os
2.358 3.694 1.406 Pd
2.358 2.214 9.877 Pd
2.358 5.169 7.048 Pd
2.358 0.740 4.235 Pd
```

Calculated volume = 19.65 A^3/atom
Space group = Pbam, No. 55

***

No. 12
The following is a PBE calculation of a geometry-optimized Zr2Os2Pd structure, from Alexandria via LeMat-Bulk.

The structure in POSCAR format:
```
Zr2Os2Pd
1.0
7.674 0.000 0.000
0.000 7.674 0.000
0.000 0.000 3.149
Os Zr Pd
4 4 2
Cartesian
1.103 4.940 1.574 Os
4.940 6.571 1.574 Os
6.571 2.734 1.574 Os
2.734 1.103 1.574 Os
2.659 6.496 0.000 Zr
6.496 5.015 0.000 Zr
5.015 1.178 0.000 Zr
1.178 2.659 0.000 Zr
0.000 0.000 0.000 Pd
3.837 3.837 0.000 Pd
```

Offset from the most stable computed form = 251 meV/atom
Calculated volume = 18.54 A^3/atom
Space group = P4/mbm, No. 127

***

Table of formation energy from the elements (eV/atom), in record order: -0.358; -0.526; 0.030; 0.274; 1.244; 1.213; -0.426; -0.192; -0.087; 0.334; -0.413; 0.037
Table of magnetization (μB/f.u.), in record order: 0.00; 0.00; 0.00; 0.00; 0.00; 3.34; 0.00; 0.00; 0.00; 0.00; 0.00; 0.00
Table of raw total energy (eV/atom), in record order: -7.405; -7.268; -7.133; -5.851; -4.373; -4.403; -6.102; -8.628; -7.717; -8.716; -8.458; -8.913